No. 1
Compound: FeCo2Ag
Source: the Alexandria database
Functional: PBE-GGA
Structure: optimized geometry

Geometry as POSCAR:
```
FeCo2Ag
1.0
-1.883 1.883 3.623
1.883 -1.883 3.623
1.883 1.883 -3.623
Fe Co Ag
1 2 1
direct
0.000 0.000 0.000
0.250 0.750 0.500
0.750 0.250 0.500
0.500 0.500 0.000
```

Results
calculated formation energy = 0.34 eV per atom
ρ = 9.10 g/cm³
offset from the most stable computed form = 121 meV/atom

No. 2
Compound: U2PaMo
Source: the Alexandria database
Functional: PBE-GGA
Structure: optimized geometry

Geometry as POSCAR:
```
U2PaMo
1.0
5.092 0.000 0.000
0.000 5.092 0.000
0.000 0.000 3.142
U Pa Mo
2 1 1
direct
0.000 0.500 0.000
0.500 0.000 0.000
0.000 0.000 0.500
0.500 0.500 0.500
```

Results
calculated formation energy = 0.27 eV per atom
ρ = 16.37 g/cm³
offset from the most stable computed form = 18 meV/atom

No. 3
Compound: ScMn4Pb
Source: the Alexandria database
Functional: PBE-GGA
Structure: optimized geometry

Geometry as POSCAR:
```
ScMn4Pb
1.0
0.000 3.507 3.507
3.507 0.000 3.507
3.507 3.507 0.000
Sc Mn Pb
1 4 1
direct
0.000 0.000 0.000
0.128 0.624 0.624
0.624 0.128 0.624
0.624 0.624 0.128
0.624 0.624 0.624
0.250 0.250 0.250
```

Results
calculated formation energy = 0.17 eV per atom
ρ = 9.08 g/cm³

No. 4
Compound: HfCd3
Source: the Alexandria database
Functional: PBE-GGA
Structure: optimized geometry

Geometry as POSCAR:
```
HfCd3
1.0
-2.471 2.471 3.488
2.471 -2.471 3.488
2.471 2.471 -3.488
Hf Cd
1 3
direct
0.000 0.000 0.000
0.250 0.750 0.500
0.500 0.500 0.000
0.750 0.250 0.500
```

Results
calculated formation energy = 0.13 eV per atom
ρ = 10.06 g/cm³

No. 5
Compound: Na2LaCoH8
Source: the Alexandria database
Functional: PBE-GGA
Structure: optimized geometry

Geometry as POSCAR:
```
Na2LaCoH8
1.0
4.733 0.000 0.000
-2.367 4.099 0.000
0.000 0.000 6.201
Na La Co H
2 1 1 8
direct
0.333 0.667 0.375
0.667 0.333 0.625
0.000 0.000 0.000
0.000 0.000 0.500
0.149 0.298 0.652
0.149 0.851 0.652
0.298 0.149 0.348
0.333 0.667 0.015
0.667 0.333 0.985
0.702 0.851 0.652
0.851 0.149 0.348
0.851 0.702 0.348
```

Results
ρ = 3.48 g/cm³
VASP energy = -3.774 eV per atom

No. 6
Compound: ZrUPa
Source: the Alexandria database
Functional: PBE-GGA
Structure: optimized geometry

Geometry as POSCAR:
```
ZrUPa
1.0
2.454 1.417 7.244
-2.454 1.417 7.244
0.000 -2.833 7.244
Zr U Pa
2 2 2
direct
0.067 0.067 0.067
0.933 0.933 0.933
0.334 0.334 0.334
0.666 0.666 0.666
0.212 0.212 0.212
0.788 0.788 0.788
```

Results
calculated formation energy = 0.46 eV per atom
ρ = 12.32 g/cm³
offset from the most stable computed form = 350 meV/atom

No. 7
Compound: Li2CdSe2
Source: the Alexandria database
Functional: PBE-GGA
Structure: optimized geometry

Geometry as POSCAR:
```
Li2CdSe2
1.0
7.439 0.000 0.000
0.000 7.439 0.000
0.000 0.000 3.812
Li Cd Se
4 2 4
direct
0.137 0.363 0.000
0.363 0.863 0.000
0.637 0.137 0.000
0.863 0.637 0.000
0.000 0.000 0.500
0.500 0.500 0.500
0.176 0.676 0.500
0.324 0.176 0.500
0.676 0.824 0.500
0.824 0.324 0.500
```

Results
ρ = 4.48 g/cm³
energy relative to the elements, uncorrected = -0.731 eV/atom
offset from the most stable computed form = 0 meV/atom

No. 8
Compound: Nd2LuBi
Source: the Alexandria database
Functional: PBE-GGA
Structure: optimized geometry

Geometry as POSCAR:
```
Nd2LuBi
1.0
4.297 0.000 0.000
0.000 4.297 0.000
0.000 0.000 6.850
Nd Lu Bi
2 1 1
direct
0.000 0.000 0.240
0.000 0.000 0.760
0.500 0.500 0.500
0.500 0.500 0.000
```

Results
calculated formation energy = -0.39 eV per atom
ρ = 8.83 g/cm³
offset from the most stable computed form = 0 meV/atom

No. 9
Compound: GaHg2Pb4
Source: the Alexandria database
Functional: PBE-GGA
Structure: optimized geometry

Geometry as POSCAR:
```
GaHg2Pb4
1.0
-3.878 3.878 3.483
3.878 -3.878 3.483
3.878 3.878 -3.483
Ga Hg Pb
1 2 4
direct
0.000 0.000 0.000
0.250 0.750 0.500
0.750 0.250 0.500
0.281 0.717 0.000
0.283 0.283 0.565
0.717 0.281 0.000
0.719 0.719 0.435
```

Results
calculated formation energy = 0.12 eV per atom
ρ = 10.30 g/cm³
offset from the most stable computed form = 79 meV/atom

No. 10
Compound: LiTcAu2
Source: the Alexandria database
Functional: PBE-GGA
Structure: optimized geometry

Geometry as POSCAR:
```
LiTcAu2
1.0
4.558 -1.338 0.000
4.558 1.338 0.000
-0.580 0.000 5.336
Li Tc Au
1 1 2
direct
0.000 0.000 0.000
0.500 0.500 0.500
0.245 0.245 0.753
0.755 0.755 0.247
```

Results
calculated formation energy = 0.20 eV per atom
ρ = 12.73 g/cm³
offset from the most stable computed form = 246 meV/atom

No. 11
Compound: Dy3NiPd
Source: the Alexandria database
Functional: PBE-GGA
Structure: optimized geometry

Geometry as POSCAR:
```
Dy3NiPd
1.0
7.682 -1.956 0.000
7.682 1.956 0.000
-0.337 0.000 7.873
Dy Ni Pd
6 2 2
direct
0.057 0.057 0.310
0.236 0.236 0.691
0.395 0.395 0.054
0.605 0.605 0.946
0.764 0.764 0.309
0.943 0.943 0.690
0.212 0.212 0.072
0.788 0.788 0.928
0.406 0.406 0.428
0.594 0.594 0.572
```

Results
calculated formation energy = -0.52 eV per atom
ρ = 9.16 g/cm³
offset from the most stable computed form = 0 meV/atom

No. 12
Compound: AcCeZn
Source: the Alexandria database
Functional: PBE-GGA
Structure: optimized geometry

Geometry as POSCAR:
```
AcCeZn
1.0
-1.912 1.912 6.303
1.912 -1.912 6.303
1.912 1.912 -6.303
Ac Ce Zn
1 1 1
direct
0.000 0.000 0.000
0.287 0.287 0.000
0.661 0.661 0.000
```

Results
calculated formation energy = -0.07 eV per atom
ρ = 7.80 g/cm³
offset from the most stable computed form = 22 meV/atom

No. 13
Compound: Pr2Y2Th15
Source: the Alexandria database
Functional: PBE-GGA
Structure: optimized geometry

Geometry as POSCAR:
```
Pr2Y2Th15
1.0
5.773 3.333 5.715
-5.773 3.333 5.715
0.000 -6.666 5.715
Pr Y Th
2 2 15
direct
0.159 0.159 0.159
0.841 0.841 0.841
0.399 0.399 0.399
0.601 0.601 0.601
0.000 0.500 0.500
0.154 0.154 0.674
0.154 0.674 0.154
0.197 0.500 0.803
0.197 0.803 0.500
0.326 0.846 0.846
0.500 0.000 0.500
0.500 0.197 0.803
0.500 0.500 0.000
0.500 0.803 0.197
0.674 0.154 0.154
0.803 0.197 0.500
0.803 0.500 0.197
0.846 0.326 0.846
0.846 0.846 0.326
```

Results
calculated formation energy = 0.26 eV per atom
ρ = 9.92 g/cm³

No. 14
Compound: V5Fe4Ru
Source: the Alexandria database
Functional: PBE-GGA
Structure: optimized geometry

Geometry as POSCAR:
```
V5Fe4Ru
1.0
2.914 0.000 0.000
0.000 2.914 0.000
0.000 0.000 14.484
V Fe Ru
5 4 1
direct
0.000 0.000 0.000
0.000 0.000 0.196
0.000 0.000 0.391
0.000 0.000 0.609
0.000 0.000 0.804
0.500 0.500 0.098
0.500 0.500 0.296
0.500 0.500 0.704
0.500 0.500 0.902
0.500 0.500 0.500
```

Results
calculated formation energy = -0.15 eV per atom
ρ = 7.82 g/cm³

No. 15
Compound: MnRu2Pb
Source: the Alexandria database
Functional: PBE-GGA
Structure: optimized geometry

Geometry as POSCAR:
```
MnRu2Pb
1.0
0.000 3.194 3.194
3.194 0.000 3.194
3.194 3.194 0.000
Mn Ru Pb
1 2 1
direct
0.000 0.000 0.000
0.500 0.500 0.500
0.750 0.750 0.750
0.250 0.250 0.250
```

Results
calculated formation energy = 0.56 eV per atom
ρ = 11.83 g/cm³

No. 16
Compound: BaPr2Lu
Source: the Alexandria database
Functional: PBE-GGA
Structure: optimized geometry

Geometry as POSCAR:
```
BaPr2Lu
1.0
1.841 1.063 13.116
-1.841 1.063 13.116
0.000 -2.125 13.116
Ba Pr Lu
1 2 1
direct
0.000 0.000 0.000
0.095 0.095 0.095
0.905 0.905 0.905
0.500 0.500 0.500
```

Results
calculated formation energy = 0.20 eV per atom
ρ = 6.41 g/cm³
offset from the most stable computed form = 90 meV/atom

No. 17
Compound: DyCu4Ir
Source: the Alexandria database
Functional: PBE-GGA
Structure: optimized geometry

Geometry as POSCAR:
```
DyCu4Ir
1.0
0.000 3.512 3.512
3.512 0.000 3.512
3.512 3.512 0.000
Dy Cu Ir
1 4 1
direct
0.000 0.000 0.000
0.128 0.624 0.624
0.624 0.128 0.624
0.624 0.624 0.128
0.624 0.624 0.624
0.250 0.250 0.250
```

Results
calculated formation energy = -0.23 eV per atom
ρ = 11.67 g/cm³

No. 18
Compound: BaNa9Tl3
Source: the Alexandria database
Functional: PBE-GGA
Structure: optimized geometry

Geometry as POSCAR:
```
BaNa9Tl3
1.0
3.358 -7.914 0.000
3.358 7.914 0.000
-3.184 0.000 8.261
Ba Na Tl
1 9 3
direct
0.000 0.000 0.000
0.024 0.672 0.659
0.274 0.495 0.784
0.328 0.976 0.341
0.495 0.274 0.784
0.500 0.500 0.500
0.505 0.726 0.216
0.672 0.024 0.659
0.726 0.505 0.216
0.976 0.328 0.341
0.000 0.000 0.500
0.000 0.500 0.000
0.500 0.000 0.000
```

Results
calculated formation energy = -0.09 eV per atom
ρ = 3.62 g/cm³

No. 19
Compound: Pu3PdRh2
Source: the Alexandria database
Functional: PBE-GGA
Structure: optimized geometry

Geometry as POSCAR:
```
Pu3PdRh2
1.0
3.443 0.000 0.000
0.000 3.443 0.000
0.000 0.000 10.438
Pu Pd Rh
3 1 2
direct
0.000 0.000 0.000
0.000 0.000 0.323
0.000 0.000 0.677
0.500 0.500 0.500
0.500 0.500 0.164
0.500 0.500 0.836
```

Results
calculated formation energy = -0.42 eV per atom
ρ = 14.01 g/cm³

No. 20
Compound: SrBiAu
Source: the Alexandria database
Functional: PBE-GGA
Structure: optimized geometry

Geometry as POSCAR:
```
SrBiAu
1.0
4.709 0.000 0.000
0.002 4.711 0.000
2.228 2.239 8.583
Sr Bi Au
2 2 2
direct
0.000 0.000 0.000
0.265 0.737 0.500
0.576 0.583 0.829
0.848 0.314 0.330
0.428 0.463 0.156
0.735 0.163 0.657
```

Results
calculated formation energy = -0.66 eV per atom
ρ = 8.61 g/cm³

No. 21
Compound: InAuBr2
Source: the Alexandria database
Functional: PBE-GGA
Structure: optimized geometry

Geometry as POSCAR:
```
InAuBr2
1.0
3.993 0.000 0.000
0.000 4.365 0.000
0.000 0.000 6.650
In Au Br
1 1 2
direct
0.000 0.000 0.000
0.000 0.500 0.500
0.500 0.000 0.500
0.500 0.500 0.000
```

Results
ρ = 6.76 g/cm³
energy relative to the elements, uncorrected = -0.089 eV/atom
offset from the most stable computed form = 325 meV/atom

No. 22
Compound: NiAs4Ru
Source: the Alexandria database
Functional: PBE-GGA
Structure: optimized geometry

Geometry as POSCAR:
```
NiAs4Ru
1.0
0.000 3.754 3.754
3.754 0.000 3.754
3.754 3.754 0.000
Ni As Ru
1 4 1
direct
0.000 0.000 0.000
0.375 0.375 0.375
0.375 0.375 0.875
0.375 0.875 0.375
0.875 0.375 0.375
0.750 0.750 0.750
```

Results
calculated formation energy = 0.87 eV per atom
ρ = 7.21 g/cm³
offset from the most stable computed form = 1008 meV/atom

No. 23
Compound: TaVBrN2
Source: the Alexandria database
Functional: PBE-GGA
Structure: optimized geometry

Geometry as POSCAR:
```
TaVBrN2
1.0
4.047 0.000 0.000
0.000 4.047 0.000
0.000 0.000 4.471
Ta V Br N
1 1 1 2
direct
0.000 0.000 0.000
0.500 0.500 0.000
0.500 0.500 0.500
0.000 0.500 0.500
0.500 0.000 0.500
```

Results
ρ = 7.71 g/cm³
energy relative to the elements, uncorrected = 2.391 eV/atom

No. 24
Compound: RbCd3O
Source: the Alexandria database
Functional: PBE-GGA
Structure: optimized geometry

Geometry as POSCAR:
```
RbCd3O
1.0
5.153 0.000 0.000
0.000 5.153 0.000
0.000 0.000 5.153
Rb Cd O
1 3 1
direct
0.000 0.000 0.000
0.000 0.500 0.500
0.500 0.000 0.500
0.500 0.500 0.000
0.500 0.500 0.500
```

Results
ρ = 5.32 g/cm³
energy relative to the elements, uncorrected = 0.067 eV/atom
offset from the most stable computed form = 0 meV/atom

No. 25
Compound: Ca2Sn2Hg
Source: the Alexandria database
Functional: PBE-GGA
Structure: optimized geometry

Geometry as POSCAR:
```
Ca2Sn2Hg
1.0
-3.079 3.079 4.498
3.079 -3.079 4.498
3.079 3.079 -4.498
Ca Sn Hg
2 2 1
direct
0.250 0.750 0.500
0.750 0.250 0.500
0.161 0.161 0.000
0.839 0.839 0.000
0.500 0.500 0.000
```

Results
calculated formation energy = -0.23 eV per atom
ρ = 5.04 g/cm³
offset from the most stable computed form = 307 meV/atom

No. 26
Compound: InGa2Sn2
Source: the Alexandria database
Functional: PBE-GGA
Structure: optimized geometry

Geometry as POSCAR:
```
InGa2Sn2
1.0
5.514 -4.479 0.000
5.514 4.479 0.000
-3.664 0.000 5.296
In Ga Sn
2 4 4
direct
0.143 0.857 0.750
0.857 0.143 0.250
0.168 0.832 0.250
0.496 0.504 0.750
0.504 0.496 0.250
0.832 0.168 0.750
0.133 0.448 0.806
0.448 0.133 0.306
0.552 0.867 0.694
0.867 0.552 0.194
```

Results
calculated formation energy = 0.08 eV per atom
ρ = 6.24 g/cm³
offset from the most stable computed form = 25 meV/atom